[1]
This record from Alexandria via LeMat-Bulk describes crystalline MnSi2TcAg at its relaxed geometry. The functional is GGA-PBE.

Cell and atoms, written as POSCAR:
```
MnSi2TcAg
1.0
4.2873 0.0000 0.0000
0.0000 4.9238 0.0000
0.0000 0.0000 4.2873
Si Ag Mn Tc
2 1 1 1
Direct
0.0000 0.0000 0.5000
0.5000 0.0000 0.0000
0.0000 0.5000 0.0000
0.0000 0.0000 0.0000
0.5000 0.5000 0.5000
```

## Properties
Energy relative to the elements, uncorrected: 0.9766 eV per atom
Excess energy over the best structure of this formula in the dataset: 0 meV/atom
Symmetry: P4/mmm

---

[2]
This record from Alexandria via LeMat-Bulk describes crystalline MnSiTc2Ag at its relaxed geometry. The functional is GGA-PBE.

Cell and atoms, written as POSCAR:
```
MnSiTc2Ag
1.0
4.4448 0.0000 0.0000
0.0000 4.3052 0.0000
0.0000 0.0000 4.4448
Ag Mn Tc Si
1 1 2 1
Direct
0.5000 0.5000 0.5000
0.0000 0.0000 0.0000
0.0000 0.0000 0.5000
0.5000 0.0000 0.0000
0.0000 0.5000 0.0000
```

## Properties
Energy relative to the elements, uncorrected: 0.9746 eV per atom
Symmetry: P4/mmm

---

[3]
This record from Alexandria via LeMat-Bulk describes crystalline MnTlSi2Ag at its relaxed geometry. The functional is GGA-PBE.

Cell and atoms, written as POSCAR:
```
MnTlSi2Ag
1.0
4.7958 0.0000 0.0000
0.0000 5.5648 0.0000
0.0000 0.0000 4.7958
Si Ag Mn Tl
2 1 1 1
Direct
0.5000 0.0000 0.0000
0.0000 0.0000 0.5000
0.0000 0.0000 0.0000
0.5000 0.5000 0.5000
0.0000 0.5000 0.0000
```

## Properties
Energy relative to the elements, uncorrected: 1.1091 eV per atom
Symmetry: P4/mmm

---

[4]
This record from Alexandria via LeMat-Bulk describes crystalline Mn2SiAgW at its relaxed geometry. The functional is GGA-PBE.

Cell and atoms, written as POSCAR:
```
Mn2SiAgW
1.0
4.5757 0.0000 0.0000
0.0000 4.3255 0.0000
0.0000 0.0000 4.5757
Mn Si Ag W
2 1 1 1
Direct
0.0000 0.0000 0.5000
0.5000 0.0000 0.0000
0.0000 0.5000 0.0000
0.0000 0.0000 0.0000
0.5000 0.5000 0.5000
```

## Properties
Energy relative to the elements, uncorrected: 2.2977 eV per atom
Symmetry: P4/mmm

---

[5]
This record from Alexandria via LeMat-Bulk describes crystalline SmThMnAg at its relaxed geometry. The functional is GGA-PBE.

Cell and atoms, written as POSCAR:
```
SmThMnAg
1.0
-0.6999 -3.8020 -3.4532
0.8250 -4.9305 1.3708
-4.0030 -3.2545 0.5040
Ag Sm Th Mn
1 1 1 1
Direct
0.5000 0.5000 0.5000
0.7500 0.7500 0.7500
0.2500 0.2500 0.2500
0.0000 0.0000 0.0000
```

## Properties
Energy of formation: 0.10 eV/atom
Symmetry: F-43m

---

[6]
This record from Alexandria via LeMat-Bulk describes crystalline SmYMnAg at its relaxed geometry. The functional is GGA-PBE.

Cell and atoms, written as POSCAR:
```
SmYMnAg
1.0
-2.0878 -4.0574 2.3925
2.8267 -4.2220 0.8542
1.4605 -1.1959 4.7940
Y Ag Mn Sm
1 1 1 1
Direct
0.7500 0.7500 0.7500
0.0000 0.0000 0.0000
0.5000 0.5000 0.5000
0.2500 0.2500 0.2500
```

## Properties
Energy of formation: 0.01 eV/atom
Symmetry: F-43m

---

[7]
This record from Alexandria via LeMat-Bulk describes crystalline MnAg3Sn at its relaxed geometry. The functional is GGA-PBE.

Cell and atoms, written as POSCAR:
```
MnAg3Sn
1.0
-0.8773 3.1235 3.5952
-4.1900 1.2316 -2.0924
-2.2640 -3.4897 2.4794
Ag Sn Mn
3 1 1
Direct
0.0000 0.0000 0.5000
0.0000 0.5000 0.0000
0.5000 0.0000 0.0000
0.5000 0.5000 0.5000
0.0000 0.0000 0.0000
```

## Properties
Energy of formation: 0.80 eV/atom
Excess energy over the best structure of this formula in the dataset: 0 meV/atom
Symmetry: Pm-3m

---

[8]
This record from Alexandria via LeMat-Bulk describes crystalline MnAgSn2 at its relaxed geometry. The functional is GGA-PBE.

Cell and atoms, written as POSCAR:
```
MnAgSn2
1.0
3.1996 0.0000 0.0000
0.0000 5.1153 0.0000
0.0000 0.0000 5.1153
Sn Ag Mn
2 1 1
Direct
0.0000 0.5000 0.0000
0.0000 0.0000 0.5000
0.5000 0.5000 0.5000
0.5000 0.0000 0.0000
```

## Properties
Energy of formation: 0.18 eV/atom
Excess energy over the best structure of this formula in the dataset: 0 meV/atom
Symmetry: P4/mmm

---

[9]
This record from Alexandria via LeMat-Bulk describes crystalline MnAg2Sn at its relaxed geometry. The functional is GGA-PBE.

Cell and atoms, written as POSCAR:
```
MnAg2Sn
1.0
4.3905 0.0000 0.0000
0.0000 4.1037 0.0000
0.0000 0.0000 4.1037
Ag Sn Mn
2 1 1
Direct
0.0000 0.5000 0.0000
0.0000 0.0000 0.5000
0.5000 0.0000 0.0000
0.5000 0.5000 0.5000
```

## Properties
Energy of formation: 0.12 eV/atom
Symmetry: P4/mmm

---

[10]
This record from Alexandria via LeMat-Bulk describes crystalline Mn3AgSn at its relaxed geometry. The functional is GGA-PBE.

Cell and atoms, written as POSCAR:
```
Mn3AgSn
1.0
5.1472 0.0000 0.0000
0.0000 5.1472 0.0000
0.0000 0.0000 5.1472
Mn Ag Sn
3 1 1
Direct
0.0000 0.5000 0.0000
0.5000 0.0000 0.0000
0.0000 0.0000 0.5000
0.5000 0.5000 0.5000
0.0000 0.0000 0.0000
```

## Properties
Energy of formation: 1.16 eV/atom
Symmetry: Pm-3m

---

[11]
This record from Alexandria via LeMat-Bulk describes crystalline MnAg2Sn2 at its relaxed geometry. The functional is GGA-PBE.

Cell and atoms, written as POSCAR:
```
MnAg2Sn2
1.0
-2.7886 -1.4818 6.4563
-5.7309 -2.9734 -3.1577
1.9702 -3.7798 -0.0165
Mn Ag Sn
2 4 4
Direct
0.5000 0.5000 0.0000
0.0000 0.0000 0.0000
0.3527 0.1473 0.5000
0.8527 0.3527 0.5000
0.6473 0.8527 0.5000
0.1473 0.6473 0.5000
0.8447 0.6553 0.0000
0.6553 0.1553 0.0000
0.1553 0.3447 0.0000
0.3447 0.8447 0.0000
```

## Properties
Energy of formation: 0.27 eV/atom
Symmetry: P4/mbm

---

[12]
This record from Alexandria via LeMat-Bulk describes crystalline MnAgSn2 at its relaxed geometry. The functional is GGA-PBE.

Cell and atoms, written as POSCAR:
```
MnAgSn2
1.0
-4.2687 -2.0630 0.2592
-3.2079 1.5668 3.1304
-3.8552 2.3228 -1.5122
Ag Sn Mn
1 2 1
Direct
0.5000 0.5000 0.5000
0.7500 0.7500 0.7500
0.2500 0.2500 0.2500
0.0000 0.0000 0.0000
```

## Properties
Energy of formation: 0.53 eV/atom
Excess energy over the best structure of this formula in the dataset: 344 meV/atom
Symmetry: Fm-3m

---

[13]
This record from Alexandria via LeMat-Bulk describes crystalline MnAgSn2 at its relaxed geometry. The functional is GGA-PBE.

Cell and atoms, written as POSCAR:
```
MnAgSn2
1.0
-2.9528 2.9759 1.5900
-1.3753 -2.9909 3.0440
4.1668 3.1095 8.2401
Ag Mn Sn
2 2 4
Direct
0.0000 0.0000 0.0000
0.7500 0.2500 0.5000
0.5000 0.5000 0.0000
0.2500 0.7500 0.5000
0.1341 0.6250 0.2500
0.3750 0.3841 0.7500
0.8750 0.8659 0.7500
0.6159 0.1250 0.2500
```

## Properties
Energy of formation: 0.26 eV/atom
Excess energy over the best structure of this formula in the dataset: 74 meV/atom
Symmetry: I-42d

---

[14]
This record from Alexandria via LeMat-Bulk describes crystalline MnAg2Sn at its relaxed geometry. The functional is GGA-PBE.

Cell and atoms, written as POSCAR:
```
MnAg2Sn
1.0
4.0152 0.0000 0.0000
0.0000 4.0152 0.0000
2.0076 2.0076 10.0303
Sn Mn Ag
2 2 4
Direct
0.7500 0.2500 0.5000
0.0000 0.0000 0.0000
0.2500 0.7500 0.5000
0.5000 0.5000 0.0000
0.8750 0.8694 0.7500
0.1306 0.6250 0.2500
0.6194 0.1250 0.2500
0.3750 0.3806 0.7500
```

## Properties
Energy of formation: 0.29 eV/atom
Symmetry: I-42d

---

[15]
This record from Alexandria via LeMat-Bulk describes crystalline MnAgSn2 at its relaxed geometry. The functional is GGA-PBE.

Cell and atoms, written as POSCAR:
```
MnAgSn2
1.0
-1.2472 -0.4485 2.9423
1.9063 -0.9129 2.4386
1.9325 8.8508 3.9381
Sn Mn Ag
2 1 1
Direct
0.0938 0.0938 0.7185
0.9062 0.9062 0.2815
0.5000 0.5000 0.5000
0.0000 0.0000 0.0000
```

## Properties
Energy of formation: 0.21 eV/atom
Excess energy over the best structure of this formula in the dataset: 28 meV/atom
Symmetry: R-3m

---

[16]
This record from Alexandria via LeMat-Bulk describes crystalline MnAgSn4 at its relaxed geometry. The functional is GGA-PBE.

Cell and atoms, written as POSCAR:
```
MnAgSn4
1.0
-3.6781 -5.4528 -1.6531
-0.9823 2.5450 -6.2090
7.2575 -1.2922 2.0260
Sn Ag Mn
8 2 2
Direct
0.9786 0.7971 0.2757
0.2971 0.4786 0.2757
0.0214 0.2029 0.7243
0.7029 0.5214 0.7243
0.4786 0.9786 0.2757
0.2029 0.7029 0.7243
0.7971 0.2971 0.2757
0.5214 0.0214 0.7243
0.0000 0.0000 0.0000
0.5000 0.5000 0.0000
0.2500 0.2500 0.5000
0.7500 0.7500 0.5000
```

## Properties
Energy of formation: 0.07 eV/atom
Symmetry: I4/mcm

---

[17]
This record from Alexandria via LeMat-Bulk describes crystalline Mn2AgSn2 at its relaxed geometry. The functional is GGA-PBE.

Cell and atoms, written as POSCAR:
```
Mn2AgSn2
1.0
-1.8244 -3.7650 -6.7004
-1.9190 -6.4453 4.1442
-2.8625 0.9942 0.2207
Sn Mn Ag
4 4 2
Direct
0.6741 0.1741 0.0000
0.3259 0.8259 0.0000
0.8259 0.6741 0.0000
0.1741 0.3259 0.0000
0.6202 0.8798 0.5000
0.1202 0.6202 0.5000
0.3798 0.1202 0.5000
0.8798 0.3798 0.5000
0.0000 0.0000 0.0000
0.5000 0.5000 0.0000
```

## Properties
Energy of formation: 0.23 eV/atom
Symmetry: P4/mbm

---

[18]
This record from Alexandria via LeMat-Bulk describes crystalline MnZnAgSn at its relaxed geometry. The functional is GGA-PBE.

Cell and atoms, written as POSCAR:
```
MnZnAgSn
1.0
4.6393 0.0000 0.0000
2.3196 4.0177 0.0000
2.3196 1.3392 3.7879
Zn Mn Ag Sn
1 1 1 1
Direct
0.7500 0.7500 0.7500
0.5000 0.5000 0.5000
0.0000 0.0000 0.0000
0.2500 0.2500 0.2500
```

## Properties
Energy of formation: 0.19 eV/atom
Symmetry: F-43m

---

[19]
This record from Alexandria via LeMat-Bulk describes crystalline Sr2MnAg at its relaxed geometry. The functional is GGA-PBE.

Cell and atoms, written as POSCAR:
```
Sr2MnAg
1.0
4.6042 0.0000 0.0000
0.0000 4.6654 -0.0065
0.0000 2.3385 6.0676
Sr Mn Ag
2 1 1
Direct
0.0000 0.9796 0.9157
0.5000 0.2672 0.3406
0.5000 0.5651 0.7449
0.0000 0.6881 0.4988
```

## Properties
Energy of formation: 0.13 eV/atom
Symmetry: Amm2

---

[20]
This record from Alexandria via LeMat-Bulk describes crystalline SrMn2Ag2 at its relaxed geometry. The functional is GGA-PBE.

Cell and atoms, written as POSCAR:
```
SrMn2Ag2
1.0
3.2166 0.0000 0.0000
0.0000 3.2166 0.0000
1.6083 1.6083 9.3576
Mn Ag Sr
2 2 1
Direct
0.7500 0.2500 0.5000
0.2500 0.7500 0.5000
0.6288 0.6288 0.7424
0.3712 0.3712 0.2576
0.0000 0.0000 0.0000
```

## Properties
Energy of formation: 0.58 eV/atom
Excess energy over the best structure of this formula in the dataset: 220 meV/atom
Symmetry: I4/mmm

---

[21]
This record from Alexandria via LeMat-Bulk describes crystalline Sr2MnAg at its relaxed geometry. The functional is GGA-PBE.

Cell and atoms, written as POSCAR:
```
Sr2MnAg
1.0
-2.3816 0.6358 -4.9773
8.3485 -1.8797 1.9554
1.3020 -3.5481 -1.0776
Ag Sr Mn
1 2 1
Direct
0.5000 0.5000 0.0000
0.0000 0.0000 0.0000
0.0000 0.5000 0.5000
0.5000 0.0000 0.5000
```

## Properties
Energy of formation: 0.21 eV/atom
Symmetry: Cmmm

---

[22]
This record from Alexandria via LeMat-Bulk describes crystalline SrMn3Ag at its relaxed geometry. The functional is GGA-PBE.

Cell and atoms, written as POSCAR:
```
SrMn3Ag
1.0
5.0580 0.0000 0.0000
0.0000 5.0580 0.0000
0.0000 0.0000 5.0580
Sr Mn Ag
1 3 1
Direct
0.5000 0.5000 0.5000
0.0000 0.0000 0.5000
0.5000 0.0000 0.0000
0.0000 0.5000 0.0000
0.0000 0.0000 0.0000
```

## Properties
Energy of formation: 0.82 eV/atom
Excess energy over the best structure of this formula in the dataset: 0 meV/atom
Symmetry: Pm-3m

---

[23]
This record from Alexandria via LeMat-Bulk describes crystalline SrMn3Ag at its relaxed geometry. The functional is GGA-PBE.

Cell and atoms, written as POSCAR:
```
SrMn3Ag
1.0
5.0988 0.0000 0.0000
0.0000 5.0988 0.0000
0.0000 0.0000 5.0988
Sr Mn Ag
1 3 1
Direct
0.0000 0.0000 0.0000
0.0000 0.5000 0.0000
0.5000 0.0000 0.0000
0.0000 0.0000 0.5000
0.5000 0.5000 0.5000
```

## Properties
Energy of formation: 2.00 eV/atom
Excess energy over the best structure of this formula in the dataset: 1186 meV/atom
Symmetry: Pm-3m

---

[24]
This record from Alexandria via LeMat-Bulk describes crystalline SrMn2Ag2 at its relaxed geometry. The functional is GGA-PBE.

Cell and atoms, written as POSCAR:
```
SrMn2Ag2
1.0
8.1174 0.0000 0.0000
0.0000 8.1174 0.0000
0.0000 0.0000 3.2208
Mn Ag Sr
4 4 2
Direct
0.3483 0.1517 0.5000
0.6517 0.8483 0.5000
0.8483 0.3483 0.5000
0.1517 0.6517 0.5000
0.3652 0.8652 0.0000
0.1348 0.3652 0.0000
0.8652 0.6348 0.0000
0.6348 0.1348 0.0000
0.5000 0.5000 0.0000
0.0000 0.0000 0.0000
```

## Properties
Energy of formation: 0.36 eV/atom
Excess energy over the best structure of this formula in the dataset: 0 meV/atom
Symmetry: P4/mbm

---

[25]
This record from Alexandria via LeMat-Bulk describes crystalline Sr2MnAg at its relaxed geometry. The functional is GGA-PBE.

Cell and atoms, written as POSCAR:
```
Sr2MnAg
1.0
6.6957 0.0204 0.0312
5.5417 3.7580 0.0312
2.1241 0.6558 4.9374
Mn Sr Ag
1 2 1
Direct
0.7998 0.7998 0.7027
0.0133 0.0133 0.9850
0.2246 0.2246 0.2774
0.4622 0.4622 0.5350
```

## Properties
Energy of formation: 0.22 eV/atom
Symmetry: Cm

---

[26]
This record from Alexandria via LeMat-Bulk describes crystalline Sr4MnAg at its relaxed geometry. The functional is GGA-PBE.

Cell and atoms, written as POSCAR:
```
Sr4MnAg
1.0
0.0000 5.0841 5.0841
5.0841 0.0000 5.0841
5.0841 5.0841 0.0000
Sr Mn Ag
4 1 1
Direct
0.8759 0.3747 0.3747
0.3747 0.3747 0.8759
0.3747 0.3747 0.3747
0.3747 0.8759 0.3747
0.0000 0.0000 0.0000
0.7500 0.7500 0.7500
```

## Properties
Energy of formation: 0.79 eV/atom
Symmetry: F-43m

---

[27]
This record from Alexandria via LeMat-Bulk describes crystalline SrMnAg4 at its relaxed geometry. The functional is GGA-PBE.

Cell and atoms, written as POSCAR:
```
SrMnAg4
1.0
0.0000 4.0165 4.0165
4.0165 0.0000 4.0165
4.0165 4.0165 0.0000
Ag Mn Sr
4 1 1
Direct
0.3757 0.3757 0.8729
0.3757 0.3757 0.3757
0.8729 0.3757 0.3757
0.3757 0.8729 0.3757
0.7500 0.7500 0.7500
0.0000 0.0000 0.0000
```

## Properties
Energy of formation: 0.09 eV/atom
Symmetry: F-43m

---

[28]
This record from Alexandria via LeMat-Bulk describes crystalline Sr2MnAg at its relaxed geometry. The functional is GGA-PBE.

Cell and atoms, written as POSCAR:
```
Sr2MnAg
1.0
-2.1198 4.8924 -0.9907
-5.3496 0.5455 -0.7032
-2.9939 2.4748 3.7844
Mn Ag Sr
1 1 2
Direct
0.7500 0.7500 0.7500
0.5000 0.5000 0.5000
0.2500 0.2500 0.2500
0.0000 0.0000 0.0000
```

## Properties
Energy of formation: 0.40 eV/atom
Symmetry: F-43m

---

Record order is preserved below.
Raw total energy: -5.670; -6.661; -3.937; -5.616; -5.944; -5.789; -3.541; -4.822; -4.596; -5.708; -4.308; -4.478; -4.748; -4.433; -4.794; -4.602; -5.607; -4.136; -3.713; -4.561; -3.640; -5.590; -4.404; -4.781; -3.628; -2.333; -3.616; -3.450 eV/atom
Record order is preserved below.
Spin magnetization: 4.59; 1.43; 4.71; 0.19; 2.33; 3.26; 4.21; 3.70; 3.76; 12.63; 3.71; 0.00; 3.88; 3.84; 3.07; 3.05; 6.13; 3.34; 3.93; 0.00; 3.83; 12.74; 11.61; 8.24; 3.73; 4.31; 4.17; 4.54 μB/f.u.
Record order is preserved below.
DOS(E_F): 0.89; 0.85; 0.54; 1.07; 1.43; 1.04; 0.72; 0.59; 0.48; 1.58; 0.52; 1.51; 0.38; 0.47; 0.72; 0.57; 0.76; 0.62; 0.97; 1.33; 0.92; 0.97; 0.56; 1.18; 1.06; 1.26; 1.06; 1.30 states/eV/atom